[1]
A geometry-optimized MnBr structure, computed with PBE-GGA.

Summary:
The total energy is -5.3934 eV/atom. The density of states at the Fermi level is 2.6 states/eV per cell. The value obtained for the uncorrected formation energy is 0.0279 eV per atom.

Cell and atoms, written as extended XYZ:
```
4
Lattice="3.3293 0.0000 0.0000 0.0000 3.6522 0.0000 0.0000 0.0000 9.0560" Properties=species:S:1:pos:R:3 pbc="T T T"
Mn 0.8323 0.0000 1.1647
Mn 2.4970 0.0000 7.8913
Br 0.8323 1.8261 6.6349
Br 2.4970 1.8261 2.4211
```

[2]
A geometry-optimized LiCaEuHo structure, computed with PBE-GGA.

Summary:
The total energy is -4.4718 eV/atom. The density of states at the Fermi level is 4.7 states/eV per cell. For the formation energy, the calculation gives 85 kJ/mol of formula units.

Cell and atoms, written as extended XYZ:
```
4
Lattice="0.0000 4.0608 4.0608 4.0608 0.0000 4.0608 4.0608 4.0608 0.0000" Properties=species:S:1:pos:R:3 pbc="T T T"
Li 0.0000 0.0000 0.0000
Ca 6.0913 6.0913 6.0913
Eu 4.0608 4.0608 4.0608
Ho 2.0304 2.0304 2.0304
```

[3]
A geometry-optimized LaCuSi2 structure, computed with PBE-GGA.

Summary:
The total energy is -5.3395 eV/atom. The density of states at the Fermi level is 1.0 states/eV per cell. The value obtained for the uncorrected formation energy is -0.3721 eV per atom.

Cell and atoms, written as extended XYZ:
```
4
Lattice="3.4484 -1.9951 0.0000 3.4484 1.9951 0.0000 -2.3065 0.0000 5.7338" Properties=species:S:1:pos:R:3 pbc="T T T"
La 0.0000 0.0000 0.0000
Cu -0.0134 0.0000 3.2802
Si 2.2883 0.0000 3.7824
Si 4.5809 0.0000 2.3029
```

[4]
A geometry-optimized CaGaNi3Ge structure, computed with PBE-GGA.

Summary:
The total energy is -4.7392 eV/atom. The density of states at the Fermi level is 7.1 states/eV per cell. For the formation energy, the calculation gives -139 kJ/mol of formula units.

Cell and atoms, written as extended XYZ:
```
12
Lattice="3.1342 -5.8203 0.0000 3.1342 5.8203 0.0000 0.0000 0.0000 5.3764" Properties=species:S:1:pos:R:3 pbc="T T T"
Ca 3.1342 3.3672 4.0323
Ca 3.1342 -3.3672 1.3441
Ga 3.1342 0.5169 4.0323
Ga 3.1342 -0.5169 1.3441
Ni 1.2448 0.0000 0.0000
Ni 1.2448 0.0000 2.6882
Ni 3.1342 1.8740 1.3441
Ni 3.1342 -1.8740 4.0323
Ni 5.0236 0.0000 0.0000
Ni 5.0236 0.0000 2.6882
Ge 3.1342 4.2524 1.3441
Ge 3.1342 -4.2524 4.0323
```

[5]
A geometry-optimized Mg2FeAs structure, computed with PBE-GGA.

Summary:
The total energy is -4.0069 eV/atom. The density of states at the Fermi level is 2.9 states/eV per cell. For the formation energy, the calculation gives 26 kJ/mol of formula units.

Cell and atoms, written as extended XYZ:
```
4
Lattice="2.8228 -4.0515 0.0000 2.8228 4.0515 0.0000 0.0000 0.0000 2.9837" Properties=species:S:1:pos:R:3 pbc="T T T"
Mg 1.4114 2.0258 0.0000
Mg 1.4114 -2.0258 0.0000
Fe 0.0000 0.0000 1.4919
As 2.8228 0.0000 1.4919
```

[6]
A geometry-optimized KCoS3 structure, computed with PBE-GGA.

Summary:
Its energy above the most stable polymorph in this dataset is 154 kJ/mol of formula units. The total energy is -4.2250 eV/atom. The density of states at the Fermi level is 7.1 states/eV per cell. The value obtained for the uncorrected formation energy is -0.1078 eV per atom.

Cell and atoms, written as extended XYZ:
```
5
Lattice="4.6168 0.0000 0.0000 0.0000 4.6168 0.0000 0.0000 0.0000 4.6168" Properties=species:S:1:pos:R:3 pbc="T T T"
K 0.0000 0.0000 0.0000
Co 2.3084 2.3084 2.3084
S 0.0000 2.3084 2.3084
S 2.3084 0.0000 2.3084
S 2.3084 2.3084 0.0000
```